This record from the Alexandria database describes Ta2Ni after structural relaxation. The functional is PBE.

## Properties
Space-group type = C2/m (12)
Formation energy = -14.4 meV per atom
N(E_F) = 3.1 states/eV/f.u.
Magnetization = 0.00 μB/f.u.

abc: 9.4492 3.4700 6.0378
angles: 90.00 105.47 90.00
Fractional positions:
1 Ta 0.0000 0.0000 0.0000
2 Ta 0.0000 0.0000 0.5000
3 Ta 0.1749 0.5000 0.3182
4 Ta 0.3251 0.0000 0.6818
5 Ta 0.5000 0.5000 0.0000
6 Ta 0.5000 0.5000 0.5000
7 Ta 0.6749 0.0000 0.3182
8 Ta 0.8251 0.5000 0.6818
9 Ni 0.1661 0.5000 0.8424
10 Ni 0.3339 0.0000 0.1576
11 Ni 0.6661 0.0000 0.8424
12 Ni 0.8339 0.5000 0.1576